Computed, not measured: Ac4Tb2Pm after structural relaxation at the PBE level of DFT.

## Properties
**Formation energy**: 0.091 eV/atom

Cell and atoms, written as CIF:
```
data_Ac4Tb2Pm
_chemical_formula_sum 'Ac16 Tb8 Pm4'
_symmetry_space_group_name_H-M 'C 1 c 1'
_symmetry_Int_Tables_number 9
_cell_length_a 6.807
_cell_length_b 12.727
_cell_length_c 13.233
_cell_angle_alpha 90.00
_cell_angle_beta 104.70
_cell_angle_gamma 90.00
loop_
_symmetry_equiv_pos_as_xyz
'x,y,z'
'x,-y,z+1/2'
'x+1/2,y+1/2,z'
'x+1/2,-y+1/2,z+1/2'
loop_
_atom_site_label
_atom_site_fract_x
_atom_site_fract_y
_atom_site_fract_z
Ac1 0.000 0.083 0.000
Ac2 0.059 0.359 0.648
Ac3 0.355 0.143 0.571
Ac4 0.414 0.414 0.220
Tb1 0.153 0.181 0.292
Tb2 0.259 0.317 0.927
Pm1 0.457 0.061 0.859
```

=====

Computed, not measured: Ac3TbPm after structural relaxation at the PBE level of DFT.

## Properties
**Formation energy**: 0.186 eV/atom

Cell and atoms, written as CIF:
```
data_Ac3TbPm
_chemical_formula_sum 'Ac12 Tb4 Pm4'
_symmetry_space_group_name_H-M 'C 1 2/m 1'
_symmetry_Int_Tables_number 12
_cell_length_a 12.388
_cell_length_b 7.507
_cell_length_c 9.362
_cell_angle_alpha 90.00
_cell_angle_beta 109.32
_cell_angle_gamma 90.00
loop_
_symmetry_equiv_pos_as_xyz
'x,y,z'
'-x,-y,-z'
'-x,y,-z'
'x,-y,z'
'x+1/2,y+1/2,z'
'-x+1/2,-y+1/2,-z'
'-x+1/2,y+1/2,-z'
'x+1/2,-y+1/2,z'
loop_
_atom_site_label
_atom_site_fract_x
_atom_site_fract_y
_atom_site_fract_z
Ac1 0.155 0.250 0.118
Ac2 0.250 0.000 0.499
Tb1 0.057 0.500 0.728
Pm1 0.058 0.000 0.730
```

=====

Computed, not measured: Ac4TbPm3 after structural relaxation at the PBE level of DFT.

## Properties
**Formation energy**: 0.041 eV/atom

Cell and atoms, written as CIF:
```
data_Ac4TbPm3
_chemical_formula_sum 'Ac8 Tb2 Pm6'
_symmetry_space_group_name_H-M 'P m m n'
_symmetry_Int_Tables_number 59
_cell_length_a 5.422
_cell_length_b 10.840
_cell_length_c 10.673
_cell_angle_alpha 90.00
_cell_angle_beta 90.00
_cell_angle_gamma 90.00
loop_
_symmetry_equiv_pos_as_xyz
'x,y,z'
'-x,-y,-z'
'-x+1/2,-y+1/2,z'
'x+1/2,y+1/2,-z'
'x+1/2,-y,-z'
'-x+1/2,y,z'
'-x,y+1/2,-z'
'x,-y+1/2,z'
loop_
_atom_site_label
_atom_site_fract_x
_atom_site_fract_y
_atom_site_fract_z
Ac1 0.250 0.001 0.138
Ac2 0.250 0.250 0.863
Ac3 0.250 0.750 0.863
Tb1 0.250 0.250 0.387
Pm1 0.250 0.000 0.612
Pm2 0.250 0.750 0.388
```

=====

Computed, not measured: AcTb2Pm5 after structural relaxation at the PBE level of DFT.

## Properties
**Formation energy**: 0.128 eV/atom

Cell and atoms, written as CIF:
```
data_AcTb2Pm5
_chemical_formula_sum 'Ac8 Tb16 Pm40'
_symmetry_space_group_name_H-M 'C 1 2/c 1'
_symmetry_Int_Tables_number 15
_cell_length_a 23.736
_cell_length_b 6.550
_cell_length_c 17.796
_cell_angle_alpha 90.00
_cell_angle_beta 125.09
_cell_angle_gamma 90.00
loop_
_symmetry_equiv_pos_as_xyz
'x,y,z'
'-x,-y,-z'
'-x,y,-z+1/2'
'x,-y,z+1/2'
'x+1/2,y+1/2,z'
'-x+1/2,-y+1/2,-z'
'-x+1/2,y+1/2,-z+1/2'
'x+1/2,-y+1/2,z+1/2'
loop_
_atom_site_label
_atom_site_fract_x
_atom_site_fract_y
_atom_site_fract_z
Ac1 0.118 0.152 0.116
Tb1 0.066 0.462 0.231
Tb2 0.224 0.099 0.563
Pm1 0.019 0.055 0.859
Pm2 0.054 0.333 0.516
Pm3 0.157 0.414 0.969
Pm4 0.163 0.019 0.839
Pm5 0.203 0.355 0.720
```

=====

Computed, not measured: Ac4Tb2Pm3 after structural relaxation at the PBE level of DFT.

## Properties
**Formation energy**: 0.047 eV/atom

Cell and atoms, written as CIF:
```
data_Ac4Tb2Pm3
_chemical_formula_sum 'Ac4 Tb2 Pm3'
_symmetry_space_group_name_H-M 'P -1'
_symmetry_Int_Tables_number 2
_cell_length_a 5.413
_cell_length_b 6.465
_cell_length_c 11.326
_cell_angle_alpha 105.21
_cell_angle_beta 90.00
_cell_angle_gamma 114.66
loop_
_symmetry_equiv_pos_as_xyz
'x,y,z'
'-x,-y,-z'
loop_
_atom_site_label
_atom_site_fract_x
_atom_site_fract_y
_atom_site_fract_z
Ac1 0.003 0.006 0.332
Ac2 0.334 0.667 0.111
Tb1 0.329 0.658 0.772
Pm1 0.000 0.000 0.000
Pm2 0.334 0.668 0.448
```

=====

Computed, not measured: AcTb2Pm7 after structural relaxation at the PBE level of DFT.

## Properties
**Formation energy**: 0.622 eV/atom

Cell and atoms, written as CIF:
```
data_AcTb2Pm7
_chemical_formula_sum 'Ac2 Tb4 Pm14'
_symmetry_space_group_name_H-M 'C m m m'
_symmetry_Int_Tables_number 65
_symmetry_space_group_name_Hall '-C 2 2'
_cell_length_a 8.969
_cell_length_b 16.131
_cell_length_c 5.824
_cell_angle_alpha 90.00
_cell_angle_beta 90.00
_cell_angle_gamma 90.00
loop_
_atom_site_label
_atom_site_fract_x
_atom_site_fract_y
_atom_site_fract_z
Ac1 0.000 0.000 0.000
Tb1 0.000 0.298 0.500
Pm1 0.000 0.235 0.000
Pm2 0.000 0.500 0.500
Pm3 0.180 0.119 0.500
```

=====

Computed, not measured: Ac19Tb6Pm4 after structural relaxation at the PBE level of DFT.

## Properties
**Formation energy**: 0.368 eV/atom

Cell and atoms, written as CIF:
```
data_Ac19Tb6Pm4
_chemical_formula_sum 'Ac38 Tb12 Pm8'
_symmetry_space_group_name_H-M 'I 2 3'
_symmetry_Int_Tables_number 197
_symmetry_space_group_name_Hall 'I 2 2 3'
_cell_length_a 13.589
_cell_length_b 13.589
_cell_length_c 13.589
_cell_angle_alpha 90.00
_cell_angle_beta 90.00
_cell_angle_gamma 90.00
loop_
_atom_site_label
_atom_site_fract_x
_atom_site_fract_y
_atom_site_fract_z
Ac1 0.000 0.000 0.000
Ac2 0.000 0.000 0.267
Ac3 0.062 0.280 0.721
Tb1 0.000 0.115 0.500
Pm1 0.177 0.177 0.177
```

=====

Computed, not measured: Ac3Tb4Pm8 after structural relaxation at the PBE level of DFT.

## Properties
**Formation energy**: 0.360 eV/atom

Cell and atoms, written as CIF:
```
data_Ac3Tb4Pm8
_chemical_formula_sum 'Ac6 Tb8 Pm16'
_symmetry_space_group_name_H-M 'C 1 2/m 1'
_symmetry_Int_Tables_number 12
_cell_length_a 14.284
_cell_length_b 12.542
_cell_length_c 7.011
_cell_angle_alpha 90.00
_cell_angle_beta 118.76
_cell_angle_gamma 90.00
loop_
_symmetry_equiv_pos_as_xyz
'x,y,z'
'-x,-y,-z'
'-x,y,-z'
'x,-y,z'
'x+1/2,y+1/2,z'
'-x+1/2,-y+1/2,-z'
'-x+1/2,y+1/2,-z'
'x+1/2,-y+1/2,z'
loop_
_atom_site_label
_atom_site_fract_x
_atom_site_fract_y
_atom_site_fract_z
Ac1 0.000 0.000 0.000
Ac2 0.250 0.250 0.500
Tb1 0.000 0.500 0.000
Tb2 0.000 0.500 0.500
Tb3 0.250 0.250 0.000
Pm1 0.000 0.208 0.500
Pm2 0.000 0.259 0.000
Pm3 0.203 0.000 0.693
Pm4 0.239 0.500 0.778
```

=====

Computed, not measured: Ac2TbPm5 after structural relaxation at the PBE level of DFT.

## Properties
**Formation energy**: 0.036 eV/atom

Cell and atoms, written as CIF:
```
data_Ac2TbPm5
_chemical_formula_sum 'Ac4 Tb2 Pm10'
_symmetry_space_group_name_H-M 'I 4/m m m'
_symmetry_Int_Tables_number 139
_symmetry_space_group_name_Hall '-I 4 2'
_cell_length_a 5.296
_cell_length_b 5.296
_cell_length_c 20.849
_cell_angle_alpha 90.00
_cell_angle_beta 90.00
_cell_angle_gamma 90.00
loop_
_atom_site_label
_atom_site_fract_x
_atom_site_fract_y
_atom_site_fract_z
Ac1 0.000 0.000 0.250
Tb1 0.000 0.000 0.000
Pm1 0.000 0.000 0.500
Pm2 0.000 0.500 0.119
```

=====

Computed, not measured: Ac6TbPm after structural relaxation at the PBE level of DFT.

## Properties
**Formation energy**: 0.367 eV/atom

Cell and atoms, written as CIF:
```
data_Ac6TbPm
_chemical_formula_sum 'Ac12 Tb2 Pm2'
_symmetry_space_group_name_H-M 'C 1 2/m 1'
_symmetry_Int_Tables_number 12
_cell_length_a 10.285
_cell_length_b 7.761
_cell_length_c 9.785
_cell_angle_alpha 90.00
_cell_angle_beta 107.87
_cell_angle_gamma 90.00
loop_
_symmetry_equiv_pos_as_xyz
'x,y,z'
'-x,-y,-z'
'-x,y,-z'
'x,-y,z'
'x+1/2,y+1/2,z'
'-x+1/2,-y+1/2,-z'
'-x+1/2,y+1/2,-z'
'x+1/2,-y+1/2,z'
loop_
_atom_site_label
_atom_site_fract_x
_atom_site_fract_y
_atom_site_fract_z
Ac1 0.148 0.000 0.446
Ac2 0.187 0.245 0.802
Tb1 0.000 0.500 0.500
Pm1 0.000 0.500 0.000
```

=====

Computed, not measured: Ac2Tb3Pm2 after structural relaxation at the PBE level of DFT.

## Properties
**Formation energy**: 0.160 eV/atom

Cell and atoms, written as CIF:
```
data_Ac2Tb3Pm2
_chemical_formula_sum 'Ac4 Tb6 Pm4'
_symmetry_space_group_name_H-M 'C m m m'
_symmetry_Int_Tables_number 65
_symmetry_space_group_name_Hall '-C 2 2'
_cell_length_a 5.805
_cell_length_b 24.387
_cell_length_c 3.591
_cell_angle_alpha 90.00
_cell_angle_beta 90.00
_cell_angle_gamma 90.00
loop_
_atom_site_label
_atom_site_fract_x
_atom_site_fract_y
_atom_site_fract_z
Ac1 0.000 0.077 0.000
Tb1 0.000 0.218 0.000
Tb2 0.000 0.500 0.000
Pm1 0.000 0.350 0.500
```

=====

Computed, not measured: Ac2Tb2Pm5 after structural relaxation at the PBE level of DFT.

## Properties
**Formation energy**: 0.090 eV/atom

Cell and atoms, written as CIF:
```
data_Ac2Tb2Pm5
_chemical_formula_sum 'Ac2 Tb2 Pm5'
_symmetry_space_group_name_H-M 'P -1'
_symmetry_Int_Tables_number 2
_cell_length_a 3.690
_cell_length_b 8.802
_cell_length_c 10.534
_cell_angle_alpha 79.50
_cell_angle_beta 80.05
_cell_angle_gamma 89.74
loop_
_symmetry_equiv_pos_as_xyz
'x,y,z'
'-x,-y,-z'
loop_
_atom_site_label
_atom_site_fract_x
_atom_site_fract_y
_atom_site_fract_z
Ac1 0.101 0.323 0.293
Tb1 0.319 0.970 0.857
Pm1 0.081 0.720 0.349
Pm2 0.284 0.348 0.933
Pm3 0.500 0.000 0.500
```

=====

no.,volume (A^3/atom),total magnetization (μB/cell)
1,39.60,0.0
2,41.08,0.0
3,39.21,0.0
4,35.37,0.0
5,38.32,0.0
6,42.13,0.0
7,43.27,0.0
8,36.70,0.0
9,36.54,0.0
10,46.47,0.0
11,36.32,0.0
12,36.81,0.0